1.
VASP calculation (PBE) on an optimized crystal structure of Dy2Al4CuPd3.

Cell and atoms, written as POSCAR:
```
Dy2Al4CuPd3
1.0
4.129 0.000 0.000
0.000 4.129 0.000
0.000 0.000 10.810
Dy Al Cu Pd
2 4 1 3
direct
0.000 0.500 0.249
0.500 0.000 0.751
0.000 0.000 0.000
0.000 0.500 0.629
0.500 0.000 0.371
0.500 0.500 0.000
0.000 0.000 0.500
0.000 0.500 0.861
0.500 0.000 0.139
0.500 0.500 0.500
```

Results
Total moment, Bohr magnetons per cell: 0.0
E, eV/atom: -5.13
Formation energy from the elements, meV per atom: -742.8

=====

2.
VASP calculation (PBE) on an optimized crystal structure of Dy4AlCu2Pd.

Cell and atoms, written as POSCAR:
```
Dy4AlCu2Pd
1.0
2.481 1.432 8.174
-2.481 1.432 8.174
0.000 -2.865 8.174
Dy Al Cu Pd
4 1 2 1
direct
0.121 0.121 0.121
0.373 0.373 0.373
0.627 0.627 0.627
0.879 0.879 0.879
0.500 0.500 0.500
0.240 0.240 0.240
0.760 0.760 0.760
0.000 0.000 0.000
```

Results
Total moment, Bohr magnetons per cell: 0.0
E, eV/atom: -4.89
Formation energy from the elements, meV per atom: -449.1

=====

3.
VASP calculation (PBE) on an optimized crystal structure of Dy2Al5Cu2Pd.

Cell and atoms, written as POSCAR:
```
Dy2Al5Cu2Pd
1.0
9.428 0.000 0.000
0.000 9.428 0.000
0.000 0.000 3.936
Dy Al Cu Pd
4 10 4 2
direct
0.185 0.315 0.000
0.315 0.815 0.000
0.685 0.185 0.000
0.815 0.685 0.000
0.000 0.500 0.500
0.054 0.797 0.500
0.203 0.054 0.500
0.297 0.554 0.500
0.446 0.297 0.500
0.500 0.000 0.500
0.554 0.703 0.500
0.703 0.446 0.500
0.797 0.946 0.500
0.946 0.203 0.500
0.110 0.610 0.000
0.390 0.110 0.000
0.610 0.890 0.000
0.890 0.390 0.000
0.000 0.000 0.000
0.500 0.500 0.000
```

Results
Total moment, Bohr magnetons per cell: 0.0
E, eV/atom: -4.65
Formation energy from the elements, meV per atom: -518.1

=====

4.
VASP calculation (PBE) on an optimized crystal structure of Dy2Al3Cu12Pd.

Cell and atoms, written as POSCAR:
```
Dy2Al3Cu12Pd
1.0
2.624 1.515 11.954
-2.624 1.515 11.954
0.000 -3.030 11.954
Dy Al Cu Pd
2 3 12 1
direct
0.143 0.143 0.143
0.857 0.857 0.857
0.000 0.500 0.500
0.500 0.000 0.500
0.500 0.500 0.000
0.103 0.103 0.628
0.103 0.628 0.103
0.107 0.610 0.610
0.372 0.897 0.897
0.390 0.390 0.893
0.390 0.893 0.390
0.610 0.107 0.610
0.610 0.610 0.107
0.628 0.103 0.103
0.893 0.390 0.390
0.897 0.372 0.897
0.897 0.897 0.372
0.500 0.500 0.500
```

Results
Total moment, Bohr magnetons per cell: 0.0
E, eV/atom: -4.14
Formation energy from the elements, meV per atom: 13.1

=====

5.
VASP calculation (PBE) on an optimized crystal structure of PmDyAlCu.

Cell and atoms, written as POSCAR:
```
PmDyAlCu
1.0
0.000 3.615 3.615
3.615 0.000 3.615
3.615 3.615 0.000
Pm Dy Al Cu
1 1 1 1
direct
0.000 0.000 0.000
0.500 0.500 0.500
0.250 0.250 0.250
0.750 0.750 0.750
```

Results
Total moment, Bohr magnetons per cell: 0.0
E, eV/atom: -4.55
Formation energy from the elements, meV per atom: -248.0

=====

6.
VASP calculation (PBE) on an optimized crystal structure of DyAlCuPt2.

Cell and atoms, written as POSCAR:
```
DyAlCuPt2
1.0
-1.892 1.892 6.284
1.892 -1.892 6.284
1.892 1.892 -6.284
Dy Al Cu Pt
1 1 1 2
direct
0.000 0.000 0.000
0.750 0.250 0.500
0.250 0.750 0.500
0.391 0.391 0.000
0.609 0.609 0.000
```

Results
Total moment, Bohr magnetons per cell: 0.0
E, eV/atom: -5.80
Formation energy from the elements, meV per atom: -891.3

=====

7.
VASP calculation (PBE) on an optimized crystal structure of DyAl2CuPt4.

Cell and atoms, written as POSCAR:
```
DyAl2CuPt4
1.0
2.149 1.241 8.377
-2.149 1.241 8.377
0.000 -2.482 8.377
Dy Al Cu Pt
1 2 1 4
direct
0.000 0.000 0.000
0.238 0.238 0.238
0.762 0.762 0.762
0.500 0.500 0.500
0.130 0.130 0.130
0.400 0.400 0.400
0.600 0.600 0.600
0.870 0.870 0.870
```

Results
Total moment, Bohr magnetons per cell: 0.0
E, eV/atom: -5.93
Formation energy from the elements, meV per atom: -890.6

=====

8.
VASP calculation (PBE) on an optimized crystal structure of DyAl3CuPt.

Cell and atoms, written as POSCAR:
```
DyAl3CuPt
1.0
3.131 -6.045 0.000
3.131 6.045 0.000
0.000 0.000 5.754
Dy Al Cu Pt
2 6 2 2
direct
0.217 0.783 0.750
0.783 0.217 0.250
0.210 0.210 0.000
0.210 0.210 0.500
0.353 0.647 0.250
0.647 0.353 0.750
0.790 0.790 0.000
0.790 0.790 0.500
0.437 0.563 0.750
0.563 0.437 0.250
0.144 0.856 0.250
0.856 0.144 0.750
```

Results
Total moment, Bohr magnetons per cell: 0.0
E, eV/atom: -4.83
Formation energy from the elements, meV per atom: -507.2

=====

Which value of total moment does entry 5 give?
0.0 Bohr magnetons per cell

=====

Which value of total moment does entry 6 give?
0.0 Bohr magnetons per cell

=====

Number 1 is which compound?
Dy2Al4CuPd3